Entry 1:
# Cs5Bi2Te5

Crystalline Cs5Bi2Te5 at its relaxed geometry (PBE, Alexandria via LeMat-Bulk).

Lattice parameters (Å, degrees): 16.3382 5.4660 14.3790 90.00 106.06 90.00
With the nearest neighbours (Å) after each atom.
Space group C2/m (No. 12)
Symmetry-distinct sites (fractional):
Cs 0.0000 0.0000 0.0000 (multiplicity 2)  6 Te 3.92-4.11
Cs 0.1611 0.0000 0.5654 (multiplicity 4)  3 Te 3.73-3.90, 1 Cs 4.11
Cs 0.2334 0.5000 0.1395 (multiplicity 4)  5 Te 3.78-4.06, 1 Cs 4.11
Bi 0.0406 0.5000 0.2961 (multiplicity 4)  4 Te 2.94-3.18
Te 0.0000 0.5000 0.5000 (multiplicity 2)  2 Bi 3.18
Te 0.1063 0.5000 0.8766 (multiplicity 4)  1 Bi 2.94
Te 0.1349 0.0000 0.2874 (multiplicity 4)  2 Bi 3.16

Computed properties:
E_form (uncorrected): -747 meV/atom
Magnetization: 0.000 μB/atom
Volume: 51.42 Å³/atom
N(E_F): 2.3 states/eV per cell

***

Entry 2:
# MgCd2Ni

Crystalline MgCd2Ni at its relaxed geometry (PBE, Alexandria via LeMat-Bulk).

Lattice parameters (Å, degrees): 3.1124 3.2357 7.2065 90.00 90.42 90.00
With the nearest neighbours (Å) after each atom.
Space group Pm (No. 6)
Symmetry-distinct sites (fractional):
Mg 0.0000 0.0000 0.0000 (multiplicity 1)  4 Ni 2.64
Cd 0.0061 0.0000 0.4117 (multiplicity 1)  4 Ni 2.74, 1 Mg 2.97
Cd 0.5002 0.5000 0.7117 (multiplicity 1)  4 Mg 3.05-3.07, 8 Cd 3.10-3.24
Ni 0.5030 0.5000 0.1934 (multiplicity 1)  4 Mg 2.64, 4 Cd 2.74

Computed properties:
ΔE_f: -56 meV/atom
Magnetization: 0.000 μB/atom
Volume: 18.14 Å³/atom
N(E_F): 1.6 states/eV per cell

***

Entry 3:
# SrBe2As

Crystalline SrBe2As at its relaxed geometry (PBE, Alexandria via LeMat-Bulk).

Lattice parameters (Å, degrees): 3.3523 3.3523 6.6384 90.00 90.00 90.00
With the nearest neighbours (Å) after each atom.
Space group P4/mmm (No. 123)
Symmetry-distinct sites (fractional):
Sr 0.0000 0.0000 0.0000 (multiplicity 1)  8 Be 3.27, 2 As 3.32, 4 Sr 3.35
Be 0.5000 0.5000 0.3403 (multiplicity 2)  1 Be 2.12
As 0.0000 0.0000 0.5000 (multiplicity 1)  8 Be 2.60

Computed properties:
ΔE_f: 302 meV/atom
Magnetization: 0.000 μB/atom
Volume: 18.65 Å³/atom
N(E_F): 2.7 states/eV per cell